[1]
This record from Alexandria via LeMat-Bulk describes a relaxed TiNbGe crystal. The functional is PBE.

Geometry as CIF:
```
data_TiNbGe
_cell_length_a 4.317
_cell_length_b 3.435
_cell_length_c 13.409
_cell_angle_alpha 90.00
_cell_angle_beta 90.00
_cell_angle_gamma 90.00
_space_group_name_H-M_alt 'A m m 2'
_space_group_IT_number 38
loop_
_space_group_symop_operation_xyz
'x,y,z'
'-x,-y,z'
'-x,y,z'
'x,-y,z'
'x,y+1/2,z+1/2'
'-x,-y+1/2,z+1/2'
'-x,y+1/2,z+1/2'
'x,-y+1/2,z+1/2'
loop_
_atom_site_label
_atom_site_fract_x
_atom_site_fract_y
_atom_site_fract_z
Ti1 0.000 0.000 0.000
Ti2 0.500 0.000 0.187
Nb1 0.000 0.000 0.326
Nb2 0.500 0.000 0.519
Ge1 0.000 0.000 0.657
Ge2 0.500 0.000 0.862
```

## Properties
As for the crystal system: orthorhombic. For the total energy, the calculation gives -7.962 eV/atom.

***

[2]
This record from Alexandria via LeMat-Bulk describes a relaxed TiNb2Ge2 crystal. The functional is PBE.

Geometry as CIF:
```
data_TiNb2Ge2
_cell_length_a 6.820
_cell_length_b 6.820
_cell_length_c 3.588
_cell_angle_alpha 90.00
_cell_angle_beta 90.00
_cell_angle_gamma 90.00
_space_group_name_H-M_alt 'P 4/m b m'
_space_group_IT_number 127
_space_group_name_Hall '-P 4 2ab'
loop_
_atom_site_label
_atom_site_fract_x
_atom_site_fract_y
_atom_site_fract_z
Ti1 0.000 0.000 0.000
Nb1 0.169 0.331 0.500
Ge1 0.133 0.633 0.000
```

## Properties
As for the crystal system: tetragonal. For the total energy, the calculation gives -8.011 eV/atom.

***

[3]
This record from Alexandria via LeMat-Bulk describes a relaxed Ti2Nb2Ge crystal. The functional is PBE.

Geometry as CIF:
```
data_Ti2Nb2Ge
_cell_length_a 6.876
_cell_length_b 6.876
_cell_length_c 3.850
_cell_angle_alpha 90.00
_cell_angle_beta 90.00
_cell_angle_gamma 90.00
_space_group_name_H-M_alt 'P 4/m b m'
_space_group_IT_number 127
_space_group_name_Hall '-P 4 2ab'
loop_
_atom_site_label
_atom_site_fract_x
_atom_site_fract_y
_atom_site_fract_z
Ti1 0.164 0.336 0.000
Nb1 0.144 0.644 0.500
Ge1 0.000 0.000 0.500
```

## Properties
As for the crystal system: tetragonal. For the total energy, the calculation gives -8.052 eV/atom.

***

[4]
This record from Alexandria via LeMat-Bulk describes a relaxed TiNbGe crystal. The functional is PBE.

Geometry as CIF:
```
data_TiNbGe
_cell_length_a 2.919
_cell_length_b 5.724
_cell_length_c 6.541
_cell_angle_alpha 96.30
_cell_angle_beta 102.62
_cell_angle_gamma 102.95
_space_group_name_H-M_alt 'P -1'
_space_group_IT_number 2
loop_
_space_group_symop_operation_xyz
'x,y,z'
'-x,-y,-z'
loop_
_atom_site_label
_atom_site_fract_x
_atom_site_fract_y
_atom_site_fract_z
Ti1 0.020 0.339 0.325
Nb1 0.489 0.161 0.676
Ge1 0.000 0.000 0.000
Ge2 0.500 0.500 0.000
```

## Properties
As for the crystal system: triclinic. For the total energy, the calculation gives -7.792 eV/atom.

***

[5]
This record from Alexandria via LeMat-Bulk describes a relaxed TiNbGe crystal. The functional is PBE.

Geometry as CIF:
```
data_TiNbGe
_cell_length_a 5.009
_cell_length_b 9.531
_cell_length_c 8.408
_cell_angle_alpha 90.00
_cell_angle_beta 90.00
_cell_angle_gamma 90.00
_space_group_name_H-M_alt 'F d d 2'
_space_group_IT_number 43
_space_group_name_Hall 'F 2 -2d'
loop_
_atom_site_label
_atom_site_fract_x
_atom_site_fract_y
_atom_site_fract_z
Ti1 0.000 0.000 0.000
Nb1 0.000 0.000 0.668
Ge1 0.000 0.000 0.333
```

## Properties
As for the crystal system: orthorhombic. For the total energy, the calculation gives -7.934 eV/atom.

***

[6]
This record from Alexandria via LeMat-Bulk describes a relaxed Ti3NbGe crystal. The functional is PBE.

Geometry as CIF:
```
data_Ti3NbGe
_cell_length_a 4.666
_cell_length_b 4.666
_cell_length_c 4.666
_cell_angle_alpha 90.00
_cell_angle_beta 90.00
_cell_angle_gamma 90.00
_space_group_name_H-M_alt 'P m -3 m'
_space_group_IT_number 221
_space_group_name_Hall '-P 4 2 3'
loop_
_atom_site_label
_atom_site_fract_x
_atom_site_fract_y
_atom_site_fract_z
Ti1 0.000 0.000 0.500
Nb1 0.500 0.500 0.500
Ge1 0.000 0.000 0.000
```

## Properties
As for the crystal system: cubic. For the total energy, the calculation gives -7.086 eV/atom. As for the polymorph energy (0 for the lowest one): 0 meV per atom.

***

[7]
This record from Alexandria via LeMat-Bulk describes a relaxed Ti5NbGe4 crystal. The functional is PBE.

Geometry as CIF:
```
data_Ti5NbGe4
_cell_length_a 8.213
_cell_length_b 8.484
_cell_length_c 5.193
_cell_angle_alpha 90.00
_cell_angle_beta 90.00
_cell_angle_gamma 90.00
_space_group_name_H-M_alt 'P m m n'
_space_group_IT_number 59
loop_
_space_group_symop_operation_xyz
'x,y,z'
'-x,-y,-z'
'-x+1/2,-y+1/2,z'
'x+1/2,y+1/2,-z'
'x+1/2,-y,-z'
'-x+1/2,y,z'
'-x,y+1/2,-z'
'x,-y+1/2,z'
loop_
_atom_site_label
_atom_site_fract_x
_atom_site_fract_y
_atom_site_fract_z
Ti1 0.039 0.009 0.248
Ti2 0.250 0.750 0.022
Nb1 0.250 0.250 0.467
Ge1 0.088 0.250 0.946
Ge2 0.250 0.589 0.578
```

## Properties
As for the crystal system: orthorhombic. For the total energy, the calculation gives -6.913 eV/atom.

***

[8]
This record from Alexandria via LeMat-Bulk describes a relaxed Ti3NbGe2 crystal. The functional is PBE.

Geometry as CIF:
```
data_Ti3NbGe2
_cell_length_a 15.646
_cell_length_b 3.474
_cell_length_c 8.184
_cell_angle_alpha 90.00
_cell_angle_beta 115.37
_cell_angle_gamma 90.00
_space_group_name_H-M_alt 'C 1 2/m 1'
_space_group_IT_number 12
loop_
_space_group_symop_operation_xyz
'x,y,z'
'-x,-y,-z'
'-x,y,-z'
'x,-y,z'
'x+1/2,y+1/2,z'
'-x+1/2,-y+1/2,-z'
'-x+1/2,y+1/2,-z'
'x+1/2,-y+1/2,z'
loop_
_atom_site_label
_atom_site_fract_x
_atom_site_fract_y
_atom_site_fract_z
Ti1 0.050 0.000 0.159
Ti2 0.156 0.500 0.964
Ti3 0.182 0.500 0.402
Nb1 0.117 0.000 0.623
Ge1 0.006 0.500 0.343
Ge2 0.238 0.000 0.225
```

## Properties
As for the crystal system: monoclinic. For the total energy, the calculation gives -7.619 eV/atom.

***

[9]
This record from Alexandria via LeMat-Bulk describes a relaxed Ti2NbGe4 crystal. The functional is PBE.

Geometry as CIF:
```
data_Ti2NbGe4
_cell_length_a 4.873
_cell_length_b 4.873
_cell_length_c 12.896
_cell_angle_alpha 90.00
_cell_angle_beta 90.00
_cell_angle_gamma 90.00
_space_group_name_H-M_alt 'I 4/m m m'
_space_group_IT_number 139
_space_group_name_Hall '-I 4 2'
loop_
_atom_site_label
_atom_site_fract_x
_atom_site_fract_y
_atom_site_fract_z
Ti1 0.000 0.000 0.099
Nb1 0.000 0.000 0.500
Ge1 0.000 0.000 0.299
Ge2 0.000 0.500 0.000
```

## Properties
As for the crystal system: tetragonal. For the total energy, the calculation gives -6.132 eV/atom.

***

[10]
This record from Alexandria via LeMat-Bulk describes a relaxed TiNbGe crystal. The functional is PBE.

Geometry as CIF:
```
data_TiNbGe
_cell_length_a 4.5070
_cell_length_b 4.5070
_cell_length_c 18.7670
_cell_angle_alpha 90.00
_cell_angle_beta 90.00
_cell_angle_gamma 120.00
_space_group_name_H-M_alt 'R -3 m'
_space_group_IT_number 166
_space_group_name_Hall '-R 3 2"'
loop_
_atom_site_label
_atom_site_fract_x
_atom_site_fract_y
_atom_site_fract_z
Ti1 0.0000 0.0000 0.2140
Nb1 0.0000 0.0000 0.3565
Ge1 0.0000 0.0000 0.0746
```

## Properties
As for the crystal system: trigonal. For the total energy, the calculation gives -7.617 eV/atom.

***

[11]
This record from Alexandria via LeMat-Bulk describes a relaxed TiNbGe2 crystal. The functional is PBE.

Geometry as CIF:
```
data_TiNbGe2
_cell_length_a 7.865
_cell_length_b 6.739
_cell_length_c 5.427
_cell_angle_alpha 90.00
_cell_angle_beta 90.00
_cell_angle_gamma 90.00
_space_group_name_H-M_alt 'P b c m'
_space_group_IT_number 57
loop_
_space_group_symop_operation_xyz
'x,y,z'
'-x,-y,-z'
'-x,-y,z+1/2'
'x,y,-z+1/2'
'x,-y+1/2,-z'
'-x,y+1/2,z'
'-x,y+1/2,-z+1/2'
'x,-y+1/2,z+1/2'
loop_
_atom_site_label
_atom_site_fract_x
_atom_site_fract_y
_atom_site_fract_z
Ti1 0.125 0.079 0.250
Nb1 0.376 0.591 0.250
Ge1 0.119 0.750 0.000
Ge2 0.368 0.250 0.000
```

## Properties
As for the crystal system: orthorhombic. For the total energy, the calculation gives -7.097 eV/atom. As for the polymorph energy (0 for the lowest one): 0 meV per atom.

***

[12]
This record from Alexandria via LeMat-Bulk describes a relaxed TiNbGe crystal. The functional is PBE.

Geometry as CIF:
```
data_TiNbGe
_cell_length_a 4.834
_cell_length_b 8.632
_cell_length_c 4.819
_cell_angle_alpha 90.00
_cell_angle_beta 90.00
_cell_angle_gamma 90.00
_space_group_name_H-M_alt 'C m m m'
_space_group_IT_number 65
_space_group_name_Hall '-C 2 2'
loop_
_atom_site_label
_atom_site_fract_x
_atom_site_fract_y
_atom_site_fract_z
Ti1 0.000 0.160 0.000
Nb1 0.000 0.337 0.500
Ge1 0.000 0.000 0.500
Ge2 0.000 0.500 0.000
```

## Properties
As for the crystal system: orthorhombic. For the total energy, the calculation gives -7.917 eV/atom.